# 1
Entry from Alexandria via LeMat-Bulk: Ti4CoCu after structural relaxation (GGA-PBE).

```
Ti4CoCu
1.0
-2.764 -0.525 0.534
1.235 -4.396 2.073
1.045 5.881 11.200
Ti Cu Co
8 2 2
direct
0.500 0.836 0.161
0.500 0.164 0.839
0.500 0.175 0.340
0.500 0.825 0.660
0.000 0.675 0.840
0.000 0.336 0.661
0.000 0.664 0.339
0.000 0.325 0.160
0.500 0.500 0.000
0.000 0.000 0.500
0.000 0.000 0.000
0.500 0.500 0.500
```

Output
Energy above the most stable polymorph in this dataset, meV/atom: 227.8
Calculated formation energy, meV/atom: 25
VASP energy, eV for the cell shown: -85.26

---

# 2
Entry from Alexandria via LeMat-Bulk: Ti8Co2Cu after structural relaxation (GGA-PBE).

```
Ti8Co2Cu
1.0
-0.247 0.326 -4.619
-2.590 -6.255 1.018
-3.677 5.453 1.902
Ti Co Cu
8 2 1
direct
0.070 0.334 0.099
0.317 0.606 0.606
0.500 0.229 0.771
0.500 0.771 0.229
0.070 0.099 0.334
0.930 0.901 0.666
0.930 0.666 0.901
0.683 0.394 0.394
0.000 0.708 0.292
0.000 0.292 0.708
0.500 0.000 0.000
```

Output
Calculated formation energy, meV/atom: -17
VASP energy, eV for the cell shown: -81.65

---

# 3
Entry from Alexandria via LeMat-Bulk: Ti6Co5Cu after structural relaxation (GGA-PBE).

```
Ti6Co5Cu
1.0
4.149 -0.263 0.672
-0.017 5.600 2.297
0.963 0.304 7.243
Ti Co Cu
6 5 1
direct
0.500 0.746 0.000
0.500 0.254 0.000
0.168 0.420 0.663
0.832 0.083 0.337
0.168 0.917 0.663
0.832 0.580 0.337
0.333 0.833 0.334
0.000 0.500 0.000
0.333 0.333 0.335
0.667 0.167 0.666
0.667 0.667 0.665
0.000 0.000 0.000
```

Output
Calculated formation energy, meV/atom: -326
VASP energy, eV for the cell shown: -90.91

---

> The lowest VASP energy belongs to which entry?

Ti6Co5Cu